# CsTl3V2F9 PBE with a Hubbard U optimized geometry
data_CsTl3V2F9
_chemical_formula_sum 'Cs1 Tl3 V2 F9'
_cell_length_a 6.1114
_cell_length_b 6.1114
_cell_length_c 9.1142
_cell_angle_alpha 90.00
_cell_angle_beta 90.00
_cell_angle_gamma 120.00
_symmetry_space_group_name_H-M 'P -3 m 1'
_symmetry_Int_Tables_number 164
_symmetry_space_group_name_Hall '-P 3 2"'
loop_
_atom_site_label
_atom_site_type_symbol
_atom_site_fract_x
_atom_site_fract_y
_atom_site_fract_z
Cs1 Cs 0.0000 0.0000 0.0000
Tl1 Tl 0.0000 0.0000 0.5000
Tl2 Tl 0.3333 0.6667 0.2406
V1 V 0.3333 0.6667 0.6319
F1 F 0.0000 0.5000 0.5000
F2 F 0.1769 0.3539 0.7522
# energy	-5.002	eV per atom
# crystal system	trigonal
# ρ	5739	kg/m³